No. 1
# LaYBr, relaxed, DFT PBE
data_LaYBr
_cell_length_a 4.258
_cell_length_b 5.904
_cell_length_c 14.815
_cell_angle_alpha 90.00
_cell_angle_beta 90.00
_cell_angle_gamma 90.00
_space_group_name_H-M_alt 'F m m 2'
_space_group_IT_number 42
_space_group_name_Hall 'F 2 -2'
loop_
_atom_site_label
_atom_site_fract_x
_atom_site_fract_y
_atom_site_fract_z
La1 0.000 0.000 0.000
Y1 0.000 0.000 0.679
Br1 0.000 0.000 0.332
# - ΔE to the lowest computed polymorph: 0.29 eV/f.u.
# - Total magnetization: 0.0 μB/cell
# - Energy relative to the elements, uncorrected: -2.00 eV/f.u.

No. 2
# La2YBr, relaxed, DFT PBE
data_La2YBr
_cell_length_a 9.282
_cell_length_b 9.282
_cell_length_c 6.330
_cell_angle_alpha 90.00
_cell_angle_beta 90.00
_cell_angle_gamma 90.00
_space_group_name_H-M_alt 'I -4 2 d'
_space_group_IT_number 122
_space_group_name_Hall 'I -4 2bw'
loop_
_atom_site_label
_atom_site_fract_x
_atom_site_fract_y
_atom_site_fract_z
La1 0.187 0.250 0.125
Y1 0.000 0.000 0.500
Br1 0.000 0.000 0.000
# - ΔE to the lowest computed polymorph: 1.19 eV/f.u.
# - Total magnetization: 0.0 μB/cell
# - Energy relative to the elements, uncorrected: -1.14 eV/f.u.

No. 3
# La2YBr, relaxed, DFT PBE
data_La2YBr
_cell_length_a 3.713
_cell_length_b 6.082
_cell_length_c 6.082
_cell_angle_alpha 90.00
_cell_angle_beta 90.05
_cell_angle_gamma 90.00
_space_group_name_H-M_alt 'P 1 m 1'
_space_group_IT_number 6
_space_group_name_Hall 'P -2y'
loop_
_atom_site_label
_atom_site_fract_x
_atom_site_fract_y
_atom_site_fract_z
La1 0.000 0.000 0.000
La2 0.116 0.500 0.501
Y1 0.558 0.000 0.500
Br1 0.058 0.500 0.001
# - ΔE to the lowest computed polymorph: 0.56 eV/f.u.
# - Total magnetization: 0.0 μB/cell
# - Energy relative to the elements, uncorrected: -1.77 eV/f.u.

no.,D(E_F) (states/eV per atom),electronic total energy (eV per atom),volume (Å³ per cell)
1,1.1378,-5.023,372.44
2,1.5245,-4.782,545.38
3,1.2626,-4.941,137.34